Below is crystalline PmSmPO at its relaxed geometry, with properties calculated at the PBE-GGA level.

Cell: 4.2721 7.8076 5.6743 Å, 90.00 90.00 90.00°
Last column: nearest neighbours and their distance in Å.
Space group Pmc2_1 (No. 26)
Unique sites:
Pm1 0.0000 0.1285 0.0000 [2 per cell]  2 O 2.37-2.44
Sm1 0.5000 0.2979 0.4649 [2 per cell]  2 O 2.37
P1 0.5000 0.3452 0.9649 [2 per cell]  2 Pm 2.73, 3 Sm 2.79-2.86
O1 0.0000 0.1706 0.4264 [2 per cell]  2 Sm 2.37, 2 Pm 2.37-2.44

* crystal system: orthorhombic
* E above lowest polymorph: 0.00 eV/f.u.
* E: -6.9191 eV per atom

---

Below is crystalline PrScGe at its relaxed geometry, with properties calculated at the PBE-GGA level.

Cell: 6.8339 6.8339 6.8339 Å, 90.00 90.00 90.00°
Last column: nearest neighbours and their distance in Å.
Space group F-43m (No. 216)
Unique sites:
Pr1 0.0000 0.0000 0.0000 [4 per cell]  4 Sc 2.96
Sc1 0.2500 0.2500 0.7500 [4 per cell]  4 Ge 2.96, 4 Pr 2.96
Ge1 0.0000 0.0000 0.5000 [4 per cell]  4 Sc 2.96

* crystal system: cubic
* E above lowest polymorph: 2.60 eV/f.u.
* E: -5.0908 eV per atom